1.
This record from Alexandria describes AsIr2W after structural relaxation. The functional is PBE.

Properties
Uncorrected energy in eV/atom: -8.72
ΔE_f in eV per atom: 0.115

a b c (Å): 5.3699 5.3699 5.3699
angles (deg): 148.71 130.07 60.12
Element x y z (fractional)
As  0.7510  0.2510  0.5000
Ir  0.9644  0.9644  0.0000
Ir  0.2628  0.7628  0.5000
W  0.5219  0.5219  0.0000

=====

2.
This record from Alexandria describes Cs4U3PaO12 after structural relaxation. The functional is PBE.

Properties
E_form (uncorrected) in kJ/mol of formula units: -5527.9
Uncorrected energy in eV/atom: -8.18

a b c (Å): 7.6623 7.6623 7.6623
angles (deg): 109.47 109.47 109.47
Element x y z (fractional)
Cs  0.5000  0.5000  0.5000
Cs  0.0000  0.0000  0.5000
Cs  0.5000  0.0000  0.0000
Cs  0.0000  0.5000  0.0000
U  0.5000  0.0000  0.5000
U  0.5000  0.5000  0.0000
U  0.0000  0.5000  0.5000
Pa  0.0000  0.0000  0.0000
O  0.2500  0.5000  0.7500
O  0.7486  0.0000  0.7486
O  0.2514  0.0000  0.2514
O  0.7500  0.5000  0.2500
O  0.7486  0.7486  0.0000
O  0.2514  0.2514  0.0000
O  0.7500  0.2500  0.5000
O  0.2500  0.7500  0.5000
O  0.5000  0.2500  0.7500
O  0.0000  0.7486  0.7486
O  0.5000  0.7500  0.2500
O  0.0000  0.2514  0.2514

=====

3.
This record from Alexandria describes NaNb2Tc after structural relaxation. The functional is PBE.

Properties
Uncorrected energy in eV/atom: -7.05
ΔE_f in eV per atom: 0.906

a b c (Å): 7.3834 7.3834 5.9572
angles (deg): 51.71 51.71 90.00
Element x y z (fractional)
Na  0.5000  0.5000  0.0000
Na  0.2500  0.7500  0.5000
Nb  0.6635  0.1250  0.2500
Nb  0.0865  0.6250  0.2500
Nb  0.3750  0.3365  0.7500
Nb  0.8750  0.9135  0.7500
Tc  0.0000  0.0000  0.0000
Tc  0.7500  0.2500  0.5000

=====

4.
This record from Alexandria describes LaPuGeRh after structural relaxation. The functional is PBE.

Properties
Uncorrected energy in eV/atom: -8.24
ΔE_f in eV per atom: -0.436

a b c (Å): 5.0860 5.0860 5.0860
angles (deg): 60.00 60.00 60.00
Element x y z (fractional)
Ge  0.2500  0.2500  0.2500
La  0.0000  0.0000  0.0000
Rh  0.7500  0.7500  0.7500
Pu  0.5000  0.5000  0.5000

=====

5.
This record from Alexandria describes LuCdGa after structural relaxation. The functional is PBE.

Properties
Uncorrected energy in eV/atom: -3.07
ΔE_f in eV per atom: -0.245

a b c (Å): 3.3236 3.3236 6.4070
angles (deg): 105.03 105.03 90.00
Element x y z (fractional)
Lu  0.6271  0.6271  0.2542
Ga  0.2838  0.2838  0.5675
Cd  0.9391  0.9391  0.8782

=====

6.
This record from Alexandria describes Ce2Ga4Si2Ni after structural relaxation. The functional is PBE.

Properties
E_form (uncorrected) in kJ/mol of formula units: -465.3
Uncorrected energy in eV/atom: -5.05

a b c (Å): 6.1487 6.1487 6.1487
angles (deg): 90.08 119.96 119.96
Element x y z (fractional)
Ce  0.5000  0.7500  0.2500
Ce  0.5000  0.2500  0.7500
Ga  0.0000  0.7186  0.2814
Ga  0.4371  0.7186  0.7186
Ga  0.0000  0.2814  0.7186
Ga  0.5629  0.2814  0.2814
Si  0.0000  0.7266  0.7266
Si  0.0000  0.2734  0.2734
Ni  0.0000  0.0000  0.0000

=====

Which formula does entry 3 have? NaNb2Tc

=====

uncorrected energy of number 5 (LuCdGa)? -3.07 eV/atom

=====

What is the uncorrected energy in the first record? -8.72 eV/atom

=====

uncorrected energy of number 6 (Ce2Ga4Si2Ni)? -5.05 eV/atom